Run one
A relaxed TlReCl crystal, computed with PBE.

The structure in POSCAR format:
```
TlReCl
1.0
4.660 0.000 0.000
-2.330 4.036 0.000
0.000 0.000 2.997
Tl Re Cl
1 1 1
Direct
0.000 0.000 0.000 Tl
0.333 0.667 0.500 Re
0.667 0.333 0.500 Cl
```

## Properties
volume: 56.4 Å³/cell

***

Run two
A relaxed TlReCl crystal, computed with PBE.

The structure in POSCAR format:
```
TlReCl
1.0
-1.516 1.516 7.417
1.516 -1.516 7.417
1.516 1.516 -7.417
Tl Re Cl
1 1 1
Direct
0.000 0.000 0.000 Tl
0.334 0.334 0.000 Re
0.754 0.754 0.000 Cl
```

## Properties
volume: 68.2 Å³/cell

***

It is run two that is most stable; the runner-up trails by 186 meV per atom.